[1]
Entry from the Alexandria database: a geometry-optimized SrVAu2O structure (GGA+U).

Unit cell a=4.7629 b=4.7629 c=4.6197 alpha=90.00 beta=90.00 gamma=90.00
Space group P4/mmm (No. 123)
One atom of each set of equivalent atoms:
Sr: 0.0000 0.0000 0.0000 x1
V: 0.5000 0.5000 0.0000 x1
Au: 0.0000 0.5000 0.5000 x2
O: 0.0000 0.0000 0.5000 x1

***

[2]
Entry from the Alexandria database: a geometry-optimized SrWAuO2 structure (GGA+U).

Unit cell a=4.5295 b=4.5295 c=5.1499 alpha=90.00 beta=90.00 gamma=90.00
Space group P4/mmm (No. 123)
One atom of each set of equivalent atoms:
Sr: 0.0000 0.0000 0.0000 x1
W: 0.5000 0.5000 0.0000 x1
Au: 0.5000 0.5000 0.5000 x1
O: 0.0000 0.5000 0.5000 x2

***

Number 1: magnetization 1.0 μB per formula unit, final energy -0.139 Ha/atom. Number 2: magnetization 4.9 μB per formula unit, final energy -0.144 Ha/atom.